Entry from the Alexandria database: an optimized crystal structure of Pu2Be3CoSi4 (PBE).

Cell lengths 3.906, 3.906, 9.387 Å; angles 90.00, 90.00, 90.00 degrees
Sites, in units of the cell vectors:
Be  0.500  0.000  0.868
Pu  0.500  0.000  0.248
Pu  0.000  0.500  0.752
Si  0.000  0.500  0.372
Be  0.000  0.000  0.500
Co  0.500  0.500  0.500
Si  0.000  0.000  0.000
Si  0.500  0.500  0.000
Si  0.500  0.000  0.628
Be  0.000  0.500  0.132

Output
**Magnetization**: 9.9 μB/f.u.
**Formation energy from raw total energies**: -0.3902 eV/atom